! MgScCl2, PBEsol geometry, DFT meta-GGA SCAN; values from VASP
&SYSTEM
  ibrav = 0, nat = 4, ntyp = 3
/
ATOMIC_SPECIES
Cl 35.45 Cl.upf
Mg 24.30 Mg.upf
Sc 44.96 Sc.upf
CELL_PARAMETERS angstrom
-0.668 -1.530 2.911
-1.798 -2.834 0.032
7.231 -6.572 0.138
ATOMIC_POSITIONS crystal
Cl 0.276 0.276 0.172
Cl 0.724 0.724 0.828
Mg 0.500 0.500 0.500
Sc 0.000 0.000 0.000
! Magnetic moment   0.0 μB per formula unit
! ΔE to the lowest computed polymorph   0 meV/atom

! MgSeCl2, PBEsol geometry, DFT meta-GGA SCAN; values from VASP
&SYSTEM
  ibrav = 0, nat = 4, ntyp = 3
/
ATOMIC_SPECIES
Cl 35.45 Cl.upf
Mg 24.30 Mg.upf
Se 78.96 Se.upf
CELL_PARAMETERS angstrom
3.332 0.000 0.000
1.666 2.885 0.000
1.666 0.962 10.416
ATOMIC_POSITIONS crystal
Cl 0.214 0.214 0.358
Cl 0.786 0.786 0.642
Mg 0.500 0.500 0.500
Se 0.000 0.000 0.000
! Magnetic moment   0.4 μB per formula unit
! ΔE to the lowest computed polymorph   0 meV/atom

! MgSeCl2, PBEsol geometry, DFT meta-GGA SCAN; values from VASP
&SYSTEM
  ibrav = 0, nat = 4, ntyp = 3
/
ATOMIC_SPECIES
Cl 35.45 Cl.upf
Mg 24.30 Mg.upf
Se 78.96 Se.upf
CELL_PARAMETERS angstrom
-0.263 -3.506 -1.709
3.030 1.492 -3.528
3.134 -1.934 3.487
ATOMIC_POSITIONS crystal
Cl 0.000 0.020 0.018
Cl 0.500 0.636 0.369
Mg 0.000 0.516 0.977
Se 0.500 0.328 0.635
! Magnetic moment   0.0 μB per formula unit
! ΔE to the lowest computed polymorph   4 meV/atom

! MgZrSe2Cl, PBEsol geometry, DFT meta-GGA SCAN; values from VASP
&SYSTEM
  ibrav = 0, nat = 5, ntyp = 4
/
ATOMIC_SPECIES
Mg 24.30 Mg.upf
Se 78.96 Se.upf
Zr 91.22 Zr.upf
Cl 35.45 Cl.upf
CELL_PARAMETERS angstrom
4.407 0.000 0.000
0.000 5.020 0.000
0.000 0.000 5.020
ATOMIC_POSITIONS crystal
Mg 0.000 0.000 0.000
Se 0.000 0.000 0.500
Se 0.000 0.500 0.000
Zr 0.500 0.500 0.500
Cl 0.500 0.000 0.000
! Magnetic moment   1.0 μB per formula unit
! Total DFT energy (no corrections)   -17.41 eV per atom

Question: magnetic moment of number 2 (MgSeCl2)?
Answer: 0.4 μB per formula unit